## YAuBr2 (PBE-GGA)

Data for YAuBr2 after structural relaxation.

Properties
Calculated volume: 97 Å³/f.u.
Density of states at the Fermi level: 1.19 states/eV/f.u.
VASP energy: -3.95 eV per atom
ΔE_f (raw): -0.6817 eV per atom
ΔE to the lowest computed polymorph: 520 meV/atom
Symmetry: P4/mmm

extended XYZ file:
```
4
Lattice="4.4497 0.0000 0.0000 0.0000 4.6626 0.0000 0.0000 0.0000 4.6626" Properties=species:S:1:pos:R:3 pbc="T T T"
Y 2.2249 2.3313 0.0000
Au 2.2249 0.0000 2.3313
Br 0.0000 0.0000 0.0000
Br 0.0000 2.3313 2.3313
```

---

## Y2AuBr (PBE-GGA)

Data for Y2AuBr after structural relaxation.

Properties
Calculated volume: 140 Å³/f.u.
Density of states at the Fermi level: 4.36 states/eV/f.u.
VASP energy: -4.99 eV per atom
ΔE_f (raw): -0.5189 eV per atom
ΔE to the lowest computed polymorph: 430 meV/atom
Symmetry: I-42d

extended XYZ file:
```
8
Lattice="-3.0647 1.7134 -5.3657 -1.6683 -6.1105 -0.9983 -8.0665 -1.2251 0.3846" Properties=species:S:1:pos:R:3 pbc="T T T"
Y -4.1996 0.0338 -3.4855
Y -3.3834 -3.9442 -1.0953
Y -7.7927 -2.4501 -2.0789
Y -10.2234 -4.8839 -5.2993
Au 0.0000 0.0000 0.0000
Au -6.7489 -0.8551 -4.0816
Br -2.3665 -2.1986 -3.1820
Br -6.0507 -4.7671 -1.8979
```

---

## YAuBr2 (PBE-GGA)

Data for YAuBr2 after structural relaxation.

Properties
Calculated volume: 107 Å³/f.u.
Density of states at the Fermi level: 2.11 states/eV/f.u.
VASP energy: -3.91 eV per atom
ΔE_f (raw): -0.6401 eV per atom
ΔE to the lowest computed polymorph: 562 meV/atom
Symmetry: C2/m

extended XYZ file:
```
4
Lattice="-2.6568 4.5546 -2.5382 -2.4516 -1.1139 5.1956 -0.0003 3.5238 2.5827" Properties=species:S:1:pos:R:3 pbc="T T T"
Y -1.3285 4.0392 0.0223
Au -1.2259 1.2050 3.8892
Br 0.0000 0.0000 0.0000
Br -2.5542 1.7204 1.3287
```

---

## YAuBr2 (PBE-GGA)

Data for YAuBr2 after structural relaxation.

Properties
Calculated volume: 97 Å³/f.u.
VASP energy: -4.07 eV per atom
ΔE_f (raw): -0.8025 eV per atom
ΔE to the lowest computed polymorph: 399 meV/atom
Symmetry: I-4m2

extended XYZ file:
```
4
Lattice="-1.1546 4.7198 -2.4009 -5.0633 0.9642 1.6757 4.3181 -1.1755 3.0573" Properties=species:S:1:pos:R:3 pbc="T T T"
Y -3.1089 2.8420 -0.3626
Au 0.0273 3.1932 0.1469
Br 0.0000 0.0000 0.0000
Br -1.9271 1.3154 2.1852
```

---

## YAuBr2 (PBE-GGA)

Data for YAuBr2 after structural relaxation.

Properties
Calculated volume: 142 Å³/f.u.
Density of states at the Fermi level: 0.00 states/eV/f.u.
VASP energy: -4.30 eV per atom
ΔE_f (raw): -1.0250 eV per atom
ΔE to the lowest computed polymorph: 177 meV/atom
Symmetry: I-42d

extended XYZ file:
```
8
Lattice="9.9598 0.0000 0.0000 0.0000 9.9598 0.0000 4.9799 4.9799 2.8721" Properties=species:S:1:pos:R:3 pbc="T T T"
Y 4.9799 4.9799 0.0000
Y 4.9799 9.9598 1.4361
Au 0.0000 0.0000 0.0000
Au 9.9598 4.9799 1.4361
Br 6.0949 2.4899 0.7180
Br 3.8649 7.4698 0.7180
Br 7.4698 8.8448 2.1541
Br 12.4497 11.0748 2.1541
```

---

## Y2AuBr (PBE-GGA)

Data for Y2AuBr after structural relaxation.

Properties
Calculated volume: 112 Å³/f.u.
Density of states at the Fermi level: 1.09 states/eV/f.u.
VASP energy: -5.39 eV per atom
ΔE_f (raw): -0.9187 eV per atom
ΔE to the lowest computed polymorph: 31 meV/atom
Symmetry: R3m

extended XYZ file:
```
4
Lattice="4.0351 0.0000 0.0000 2.0175 3.4945 0.0000 2.0175 1.1648 7.9445" Properties=species:S:1:pos:R:3 pbc="T T T"
Y 2.0175 1.1648 6.2459
Y 2.0175 1.1648 1.6653
Au 6.0526 3.4945 7.9159
Br 4.0351 2.3297 4.0342
```

---

## YAuBr2 (PBE-GGA)

Data for YAuBr2 after structural relaxation.

Properties
Calculated volume: 96 Å³/f.u.
Density of states at the Fermi level: 0.03 states/eV/f.u.
VASP energy: -4.04 eV per atom
ΔE_f (raw): -0.7691 eV per atom
ΔE to the lowest computed polymorph: 433 meV/atom
Symmetry: Fm-3m

extended XYZ file:
```
4
Lattice="-4.0491 0.6425 3.1055 -3.7687 3.2394 -1.3251 -4.6061 -1.8350 -1.3671" Properties=species:S:1:pos:R:3 pbc="T T T"
Y 0.0000 0.0000 0.0000
Au -6.2119 1.0235 0.2066
Br -3.1060 0.5117 0.1033
Br -9.3179 1.5352 0.3100
```

---

## YAuBr2 (PBE-GGA)

Data for YAuBr2 after structural relaxation.

Properties
Calculated volume: 116 Å³/f.u.
VASP energy: -4.30 eV per atom
ΔE_f (raw): -1.0324 eV per atom
ΔE to the lowest computed polymorph: 169 meV/atom
Symmetry: P4mm

extended XYZ file:
```
4
Lattice="3.7220 0.0000 0.0000 0.0000 3.7220 0.0000 0.0000 0.0000 8.3573" Properties=species:S:1:pos:R:3 pbc="T T T"
Y 0.0000 0.0000 4.6213
Au 1.8610 1.8610 6.0493
Br 0.0000 0.0000 7.5260
Br 1.8610 1.8610 2.6966
```

---

## YAuBr (PBE-GGA)

Data for YAuBr after structural relaxation.

Properties
Calculated volume: 84 Å³/f.u.
Density of states at the Fermi level: 3.85 states/eV/f.u.
VASP energy: -4.57 eV per atom
ΔE_f (raw): -0.7618 eV per atom
ΔE to the lowest computed polymorph: 403 meV/atom
Symmetry: F-43m

extended XYZ file:
```
3
Lattice="4.9191 0.0000 0.0000 2.4596 4.2601 0.0000 2.4596 1.4200 4.0165" Properties=species:S:1:pos:R:3 pbc="T T T"
Y 2.4596 1.4200 1.0041
Au 0.0000 0.0000 0.0000
Br 4.9191 2.8401 2.0082
```

---

## YAuBr3 (PBE-GGA)

Data for YAuBr3 after structural relaxation.

Properties
Calculated volume: 173 Å³/f.u.
Density of states at the Fermi level: 2.01 states/eV/f.u.
VASP energy: -3.82 eV per atom
ΔE_f (raw): -0.8663 eV per atom
ΔE to the lowest computed polymorph: 0 meV/atom
Symmetry: Pm-3m

extended XYZ file:
```
5
Lattice="5.5772 0.0000 0.0000 0.0000 5.5772 0.0000 0.0000 0.0000 5.5772" Properties=species:S:1:pos:R:3 pbc="T T T"
Y 0.0000 0.0000 0.0000
Au 2.7886 2.7886 2.7886
Br 0.0000 2.7886 0.0000
Br 0.0000 0.0000 2.7886
Br 2.7886 0.0000 0.0000
```

---

## Y2AuBr (PBE-GGA)

Data for Y2AuBr after structural relaxation.

Properties
Calculated volume: 111 Å³/f.u.
Density of states at the Fermi level: 2.06 states/eV/f.u.
VASP energy: -5.33 eV per atom
ΔE_f (raw): -0.8615 eV per atom
ΔE to the lowest computed polymorph: 88 meV/atom
Symmetry: Imm2

extended XYZ file:
```
4
Lattice="8.0896 1.1410 -0.3383 5.6679 5.8838 0.3383 -6.6570 -3.9466 2.6394" Properties=species:S:1:pos:R:3 pbc="T T T"
Y 0.3910 0.1996 0.0000
Y 5.0370 0.8034 1.1506
Au 6.2451 3.1889 0.0000
Br 2.3062 2.3987 1.4888
```

---

## YAuBr2 (PBE-GGA)

Data for YAuBr2 after structural relaxation.

Properties
Calculated volume: 126 Å³/f.u.
Density of states at the Fermi level: 0.00 states/eV/f.u.
VASP energy: -4.39 eV per atom
ΔE_f (raw): -1.1226 eV per atom
ΔE to the lowest computed polymorph: 79 meV/atom
Symmetry: R3m

extended XYZ file:
```
4
Lattice="-0.0402 0.4183 -8.6022 -0.7614 -3.6295 -7.7732 -3.9119 -0.8645 -7.6240" Properties=species:S:1:pos:R:3 pbc="T T T"
Y -2.2972 -1.9863 -11.6964
Au -3.5803 -3.0958 -18.2291
Br -0.1372 -0.1186 -0.6984
Br -1.0557 -0.9128 -5.3752
```

---

## YAuBr (PBE-GGA)

Data for YAuBr after structural relaxation.

Properties
Calculated volume: 84 Å³/f.u.
Density of states at the Fermi level: 1.83 states/eV/f.u.
VASP energy: -4.71 eV per atom
ΔE_f (raw): -0.9026 eV per atom
ΔE to the lowest computed polymorph: 262 meV/atom
Symmetry: I4mm

extended XYZ file:
```
3
Lattice="-0.9018 -2.2688 6.7613 -2.2789 -4.8559 4.7856 2.8462 -1.9980 0.6332" Properties=species:S:1:pos:R:3 pbc="T T T"
Y -1.1512 -5.3983 7.8717
Au 2.6060 -2.2022 1.0680
Br 1.0567 -3.5201 3.8736
```

---

## YAu4Br (PBE-GGA)

Data for YAu4Br after structural relaxation.

Properties
Calculated volume: 128 Å³/f.u.
Density of states at the Fermi level: 1.82 states/eV/f.u.
VASP energy: -3.93 eV per atom
ΔE_f (raw): -0.3894 eV per atom
Symmetry: F-43m

extended XYZ file:
```
6
Lattice="0.0000 3.9954 3.9954 3.9954 0.0000 3.9954 3.9954 3.9954 0.0000" Properties=species:S:1:pos:R:3 pbc="T T T"
Y 0.0000 0.0000 0.0000
Au 2.9977 4.9930 4.9930
Au 4.9930 4.9930 2.9977
Au 4.9930 2.9977 4.9930
Au 2.9977 2.9977 2.9977
Br 5.9930 5.9930 5.9930
```

---

## YAuBr2 (PBE-GGA)

Data for YAuBr2 after structural relaxation.

Properties
Calculated volume: 139 Å³/f.u.
VASP energy: -4.38 eV per atom
ΔE_f (raw): -1.1059 eV per atom
ΔE to the lowest computed polymorph: 96 meV/atom
Symmetry: Immm

extended XYZ file:
```
4
Lattice="-5.9846 -4.1022 -3.4350 -2.9864 -5.4539 -5.0771 -0.6134 -4.4236 2.5215" Properties=species:S:1:pos:R:3 pbc="T T T"
Y -7.1883 -10.4848 -4.4929
Au -2.3961 -3.4949 -1.4976
Br -1.4805 -4.9560 1.3767
Br -3.9251 -6.4575 -1.8505
```